Entry 1:
Below is a geometry-optimized Sr2YH2 structure, with properties calculated at the GGA-PBE level.

```
Sr2YH2
1.0
3.8716 0.0000 0.0000
0.0000 3.8716 0.0000
1.9358 1.9358 9.1663
Sr H Y
2 2 1
Direct
0.3301 0.3301 0.3398
0.6699 0.6699 0.6602
0.2500 0.7500 0.5000
0.7500 0.2500 0.5000
0.0000 0.0000 0.0000
```

Spin magnetization   0.91 μB per formula unit
ρ   3.2 g cm⁻³
VASP energy   -3.46 eV per atom
DOS(E_F)   0.7495 states/eV per atom

---

Entry 2:
Below is a geometry-optimized Y3TlPb2 structure, with properties calculated at the GGA-PBE level.

```
Y3TlPb2
1.0
4.7451 0.0000 0.0000
0.0000 11.5927 0.0000
0.0000 0.0000 12.7775
Y Tl Pb
12 4 8
Direct
0.2500 0.3777 0.0291
0.7500 0.8777 0.4709
0.7500 0.1767 0.3062
0.7500 0.3233 0.8062
0.7500 0.9228 0.1405
0.2500 0.8233 0.6938
0.7500 0.5772 0.6405
0.2500 0.6767 0.1938
0.2500 0.0772 0.8595
0.2500 0.4228 0.3595
0.2500 0.1223 0.5291
0.7500 0.6223 0.9709
0.7500 0.6531 0.3419
0.2500 0.1531 0.1581
0.2500 0.3469 0.6581
0.7500 0.8469 0.8419
0.7500 0.0436 0.6796
0.7500 0.4564 0.1796
0.2500 0.9564 0.3204
0.2500 0.8324 0.9966
0.2500 0.6676 0.4966
0.2500 0.5436 0.8204
0.7500 0.3324 0.5034
0.7500 0.1676 0.0034
```

Spin magnetization   0.00 μB per formula unit
ρ   8.4 g cm⁻³
Energy above the most stable polymorph in this dataset   45 meV per atom
VASP energy   -5.24 eV per atom
ΔH_f (0 K)   -380 meV/atom
DOS(E_F)   0.6953 states/eV per atom

---

> Which of these has the lowest spin magnetization?

Y3TlPb2

---

> spin magnetization of number 1 (Sr2YH2)?

0.91 μB per formula unit

---

> Among the records above, which one has the highest spin magnetization?

Sr2YH2

---

> Look up the VASP energy of the first one.

-3.46 eV per atom